## SrAl2P2O8F2 (meta-GGA SCAN)

Data for a PBEsol-optimized structure of SrAl2P2O8F2.

Cell and atoms, written as POSCAR:
```
SrAl2P2O8F2
1.0
4.6817 0.0000 0.0000
0.0000 12.0182 0.0000
0.0000 0.0000 12.2089
Al F O P Sr
8 8 32 8 4
Cartesian
3.5043 3.0032 7.4107
1.1634 3.0058 4.7982
3.5183 9.0149 1.3063
1.1774 9.0123 10.9026
2.3653 1.7258 0.0221
0.0244 4.2833 12.1867
4.6573 10.2924 6.1266
2.3164 7.7349 6.0823
2.4294 3.5159 6.0224
0.0885 2.4932 6.1865
4.5932 8.5023 12.1268
2.2523 9.5250 0.0820
3.3414 3.1692 11.7329
1.0005 2.8399 0.4760
3.6812 8.8490 5.6285
1.3403 9.1783 6.5804
3.7407 0.5821 11.7031
1.3998 5.4270 0.5058
3.2819 11.4361 5.5987
0.9410 6.5912 6.6102
4.6217 2.3256 8.7824
2.2808 3.6835 3.4265
2.4009 9.6926 2.6780
0.0600 8.3347 9.5309
3.6824 5.6989 11.6335
1.3415 0.3102 0.5753
3.3402 6.3193 5.5291
0.9993 11.7080 6.6798
2.1884 3.5404 8.6220
4.5292 2.4687 3.5868
0.1525 8.4778 2.5176
2.4933 9.5495 9.6913
2.7761 1.2674 7.2715
0.4352 4.7417 4.9373
4.2465 10.7508 1.1671
1.9056 7.2765 11.0417
4.2341 4.7494 7.3688
1.8932 1.2597 4.8401
2.7885 7.2688 1.2644
0.4476 10.7585 10.9445
3.0490 1.9331 1.7565
0.7082 4.0760 10.4524
3.9735 10.0851 7.8609
1.6327 7.9422 4.3480
1.7379 1.7034 10.3818
4.0787 4.3057 1.8270
0.6029 10.3148 4.2774
2.9438 7.7125 7.9315
1.1534 2.8878 9.5650
3.4943 3.1213 2.6438
1.1874 9.1304 3.4606
3.5283 8.8969 8.7483
0.1270 11.6020 0.0064
2.4679 6.4253 12.2024
2.2138 0.4162 6.1109
4.5547 5.5929 6.0980
3.4995 0.0528 9.3221
1.1587 5.9563 2.8867
3.5230 11.9654 3.2177
1.1822 6.0619 8.9912
```

## AlPdO2F (meta-GGA SCAN)

Data for a PBEsol-optimized structure of AlPdO2F.

Cell and atoms, written as POSCAR:
```
AlPdO2F
1.0
3.9448 0.0000 0.0000
0.0000 3.9448 0.0000
0.0000 0.0000 4.0080
O Al Pd F
2 1 1 1
Cartesian
0.0000 1.9724 0.0000
1.9724 0.0000 0.0000
1.9724 1.9724 2.0040
0.0000 0.0000 0.0000
0.0000 0.0000 2.0040
```

| no. | total DFT energy (no corrections) (eV/cell) | density (g/cm3) |
| --- | --- | --- |
| 1 | -655.34 | 3.573 |
| 2 | -59.05 | 4.910 |